Entry 1:
Material: ZrTe2W
Method: DFT, GGA-PBE
State: relaxed

Calculated values
- raw formation energy (eV per atom) = -0.101
- polymorph energy (0 for the lowest one) (eV/atom) = 0.027

abc: 3.774 4.325 7.151
angles: 90.00 90.19 90.00
Fractional coordinates of all 4 atoms:
Zr 0.000 0.000 0.000
Te 0.002 0.500 0.259
Te 0.498 0.000 0.696
W 0.500 0.500 0.961

Entry 2:
Material: LiTm5Ag6
Method: DFT, GGA-PBE
State: relaxed

Calculated values
- energy of formation from the pure elements (eV/atom) = -0.29

abc: 8.676 8.676 5.003
angles: 106.71 106.71 119.89
Fractional coordinates of all 12 atoms:
Li 0.000 0.000 0.000
Tm 0.167 0.833 0.500
Tm 0.333 0.667 0.000
Tm 0.500 0.500 0.500
Tm 0.667 0.333 0.000
Tm 0.833 0.167 0.500
Ag 0.082 0.412 0.247
Ag 0.244 0.244 0.744
Ag 0.412 0.082 0.247
Ag 0.588 0.918 0.753
Ag 0.756 0.756 0.256
Ag 0.918 0.588 0.753

Entry 3:
Material: Ga2GeBiO6
Method: DFT, GGA-PBE
State: relaxed

Calculated values
- raw formation energy (eV per atom) = -1.447

abc: 7.049 7.049 6.259
angles: 105.70 105.70 100.95
Fractional coordinates of all 20 atoms:
Ga 0.054 0.211 0.168
Ga 0.211 0.054 0.668
Ga 0.789 0.946 0.332
Ga 0.946 0.789 0.832
Ge 0.286 0.714 0.250
Ge 0.714 0.286 0.750
Bi 0.395 0.605 0.750
Bi 0.605 0.395 0.250
O 0.069 0.177 0.465
O 0.136 0.637 0.918
O 0.177 0.069 0.965
O 0.287 0.466 0.312
O 0.363 0.864 0.582
O 0.466 0.287 0.812
O 0.534 0.713 0.188
O 0.637 0.136 0.418
O 0.713 0.534 0.688
O 0.823 0.931 0.035
O 0.864 0.363 0.082
O 0.931 0.823 0.535

Entry 4:
Material: Ti6In3Hg
Method: DFT, GGA-PBE
State: relaxed

Calculated values
- energy of formation from the pure elements (eV/atom) = 0.22
- polymorph energy (0 for the lowest one) (eV/atom) = 0.302

abc: 6.842 6.842 6.842
angles: 113.45 113.45 113.45
Fractional coordinates of all 10 atoms:
Ti 0.070 0.465 0.465
Ti 0.465 0.070 0.465
Ti 0.465 0.465 0.070
Ti 0.586 0.586 0.814
Ti 0.586 0.814 0.586
Ti 0.814 0.586 0.586
In 0.477 0.994 0.994
In 0.994 0.477 0.994
In 0.994 0.994 0.477
Hg 0.140 0.140 0.140

Entry 5:
Material: HfGaNiW2
Method: DFT, GGA-PBE
State: relaxed

Calculated values
- energy of formation from the pure elements (eV/atom) = 2.11

abc: 4.860 4.860 4.499
angles: 90.00 90.00 90.00
Fractional coordinates of all 5 atoms:
Hf 0.000 0.000 0.000
Ga 0.500 0.500 0.500
Ni 0.000 0.000 0.500
W 0.000 0.500 0.000
W 0.500 0.000 0.000

Entry 6:
Material: PmNdSm2Dy4
Method: DFT, GGA-PBE
State: relaxed

Calculated values
- energy of formation from the pure elements (eV/atom) = 0.41

abc: 9.555 9.555 6.847
angles: 110.99 110.99 88.34
Fractional coordinates of all 16 atoms:
Pm 0.000 0.000 0.000
Pm 0.000 0.000 0.500
Nd 0.000 0.500 0.000
Nd 0.500 0.000 0.500
Sm 0.000 0.500 0.500
Sm 0.500 0.000 0.000
Sm 0.500 0.500 0.000
Sm 0.500 0.500 0.500
Dy 0.250 0.251 0.499
Dy 0.250 0.749 0.500
Dy 0.251 0.250 0.999
Dy 0.251 0.750 0.000
Dy 0.749 0.250 0.000
Dy 0.749 0.750 0.001
Dy 0.750 0.251 0.500
Dy 0.750 0.749 0.501

Entry 7:
Material: SiNi2Pb
Method: DFT, GGA-PBE
State: relaxed

Calculated values
- raw formation energy (eV per atom) = -0.045
- polymorph energy (0 for the lowest one) (eV/atom) = 0.085

abc: 2.991 2.960 7.143
angles: 90.00 99.93 90.00
Fractional coordinates of all 4 atoms:
Si 0.000 0.000 0.000
Ni 0.423 0.500 0.827
Ni 0.577 0.500 0.173
Pb 0.000 0.000 0.500

Entry 8:
Material: NaGaSe
Method: DFT, GGA-PBE
State: relaxed

Calculated values
- raw formation energy (eV per atom) = -0.553
- polymorph energy (0 for the lowest one) (eV/atom) = 0.054

abc: 4.016 15.386 4.734
angles: 90.00 90.00 90.00
Fractional coordinates of all 12 atoms:
Na 0.245 0.068 0.250
Na 0.245 0.432 0.750
Na 0.755 0.568 0.250
Na 0.755 0.932 0.750
Ga 0.086 0.250 0.000
Ga 0.086 0.250 0.500
Ga 0.914 0.750 0.000
Ga 0.914 0.750 0.500
Se 0.302 0.623 0.750
Se 0.302 0.877 0.250
Se 0.698 0.123 0.750
Se 0.698 0.377 0.250

Entry 9:
Material: TiTePdN2
Method: DFT, GGA-PBE
State: relaxed

Calculated values
- raw formation energy (eV per atom) = 1.318
- polymorph energy (0 for the lowest one) (eV/atom) = 0.920

abc: 3.992 3.992 5.328
angles: 90.00 90.00 90.00
Fractional coordinates of all 5 atoms:
Ti 0.000 0.000 0.000
Te 0.500 0.500 0.000
Pd 0.500 0.500 0.500
N 0.000 0.500 0.500
N 0.500 0.000 0.500

Entry 10:
Material: Sr2Zn3Ag4
Method: DFT, GGA-PBE
State: relaxed

Calculated values
- energy of formation from the pure elements (eV/atom) = -0.19

abc: 8.760 7.714 5.672
angles: 80.16 60.19 39.64
Fractional coordinates of all 9 atoms:
Sr 0.139 0.139 0.861
Sr 0.861 0.861 0.139
Zn 0.000 0.000 0.500
Zn 0.500 0.500 0.000
Zn 0.500 0.500 0.500
Ag 0.159 0.513 0.487
Ag 0.487 0.841 0.159
Ag 0.513 0.159 0.841
Ag 0.841 0.487 0.513

Entry 11:
Material: Mg4AlZn3
Method: DFT, GGA-PBE
State: relaxed

Calculated values
- energy of formation from the pure elements (eV/atom) = -0.04

abc: 8.111 8.111 8.111
angles: 33.87 33.87 33.87
Fractional coordinates of all 8 atoms:
Mg 0.123 0.123 0.123
Mg 0.373 0.373 0.373
Mg 0.627 0.627 0.627
Mg 0.877 0.877 0.877
Al 0.500 0.500 0.500
Zn 0.000 0.000 0.000
Zn 0.248 0.248 0.248
Zn 0.752 0.752 0.752

Entry 12:
Material: LiPm2Sn4
Method: DFT, GGA-PBE
State: relaxed

Calculated values
- energy of formation from the pure elements (eV/atom) = -0.43

abc: 4.546 4.546 8.885
angles: 90.00 90.00 90.00
Fractional coordinates of all 7 atoms:
Li 0.000 0.000 0.000
Pm 0.000 0.500 0.786
Pm 0.500 0.000 0.214
Sn 0.000 0.000 0.500
Sn 0.000 0.500 0.175
Sn 0.500 0.000 0.825
Sn 0.500 0.500 0.500

| no. | total DFT energy (no corrections) (eV for the cell shown) |
| --- | --- |
| 1 | -28.19 |
| 2 | -44.81 |
| 3 | -117.55 |
| 4 | -53.72 |
| 5 | -34.14 |
| 6 | -68.14 |
| 7 | -20.87 |
| 8 | -37.96 |
| 9 | -26.29 |
| 10 | -20.33 |
| 11 | -14.24 |
| 12 | -30.47 |